(1)
LiHfReTe after structural relaxation, computed with PBE-GGA.

Summary:
Volume   275 Å³ per cell
Relative energy among the computed polymorphs   436 meV per atom
Final energy   -6.49 eV per atom
Crystal system   cubic

CIF file:
```
data_LiHfReTe
_chemical_formula_sum 'Li4 Hf4 Re4 Te4'
_space_group_name_H-M_alt 'F -4 3 m'
_space_group_IT_number 216
_space_group_name_Hall 'F -4 2 3'
_cell_length_a 6.506
_cell_length_b 6.506
_cell_length_c 6.506
_cell_angle_alpha 90.00
_cell_angle_beta 90.00
_cell_angle_gamma 90.00
loop_
_atom_site_label
_atom_site_type_symbol
_atom_site_fract_x
_atom_site_fract_y
_atom_site_fract_z
Li1 Li 0.000 0.000 0.000
Hf1 Hf 0.250 0.250 0.750
Re1 Re 0.250 0.250 0.250
Te1 Te 0.000 0.000 0.500
```

---

(2)
LiHfReW after structural relaxation, computed with PBE-GGA.

Summary:
Volume   255 Å³ per cell
Relative energy among the computed polymorphs   99 meV per atom
Final energy   -9.17 eV per atom
Crystal system   cubic

CIF file:
```
data_LiHfReW
_chemical_formula_sum 'Li4 Hf4 Re4 W4'
_space_group_name_H-M_alt 'F -4 3 m'
_space_group_IT_number 216
_space_group_name_Hall 'F -4 2 3'
_cell_length_a 6.337
_cell_length_b 6.337
_cell_length_c 6.337
_cell_angle_alpha 90.00
_cell_angle_beta 90.00
_cell_angle_gamma 90.00
loop_
_atom_site_label
_atom_site_type_symbol
_atom_site_fract_x
_atom_site_fract_y
_atom_site_fract_z
Li1 Li 0.000 0.000 0.000
Hf1 Hf 0.250 0.250 0.750
Re1 Re 0.250 0.250 0.250
W1 W 0.000 0.000 0.500
```

---

(3)
LiHfReW after structural relaxation, computed with PBE-GGA.

Summary:
Volume   256 Å³ per cell
Relative energy among the computed polymorphs   0 meV per atom
Final energy   -9.27 eV per atom
Crystal system   cubic

CIF file:
```
data_LiHfReW
_chemical_formula_sum 'Li4 Hf4 Re4 W4'
_space_group_name_H-M_alt 'F -4 3 m'
_space_group_IT_number 216
_space_group_name_Hall 'F -4 2 3'
_cell_length_a 6.353
_cell_length_b 6.353
_cell_length_c 6.353
_cell_angle_alpha 90.00
_cell_angle_beta 90.00
_cell_angle_gamma 90.00
loop_
_atom_site_label
_atom_site_type_symbol
_atom_site_fract_x
_atom_site_fract_y
_atom_site_fract_z
Li1 Li 0.000 0.000 0.000
Hf1 Hf 0.250 0.250 0.250
Re1 Re 0.000 0.000 0.500
W1 W 0.250 0.250 0.750
```

---

(4)
LiHf3Sb5 after structural relaxation, computed with PBE-GGA.

Summary:
Volume   264 Å³ per cell
Final energy   -5.99 eV per atom
Crystal system   hexagonal

CIF file:
```
data_LiHf3Sb5
_chemical_formula_sum 'Li1 Hf3 Sb5'
_space_group_name_H-M_alt 'P 6/m m m'
_space_group_IT_number 191
_space_group_name_Hall '-P 6 2'
_cell_length_a 5.9969
_cell_length_b 5.9969
_cell_length_c 8.4683
_cell_angle_alpha 90.00
_cell_angle_beta 90.00
_cell_angle_gamma 120.00
loop_
_atom_site_label
_atom_site_type_symbol
_atom_site_fract_x
_atom_site_fract_y
_atom_site_fract_z
Li1 Li 0.0000 0.0000 0.0000
Hf1 Hf 0.0000 0.5000 0.5000
Sb1 Sb 0.0000 0.0000 0.5000
Sb2 Sb 0.3333 0.6667 0.2109
```